No. 1
A relaxed structure of Na2PuGaS5. Source: the Alexandria database, functional PBE.

Cell: 3.889 8.722 13.177 Å, 90.00 90.00 102.88°
Sites, in units of the cell vectors:
Na 0.887 0.775 0.832
Na 0.089 0.178 0.664
Na 0.113 0.225 0.332
Na 0.911 0.822 0.164
Pu 0.780 0.560 0.533
Pu 0.220 0.440 0.033
Ga 0.570 0.140 0.921
Ga 0.430 0.860 0.421
S 0.364 0.729 0.009
S 0.707 0.415 0.894
S 0.503 0.007 0.779
S 0.281 0.562 0.664
S 0.940 0.881 0.527
S 0.636 0.271 0.509
S 0.293 0.585 0.394
S 0.497 0.993 0.279
S 0.719 0.438 0.164
S 0.060 0.119 0.027

Output
- Calculated volume: 435.7 Å³/cell
- Uncorrected energy: -99.2 eV per cell


No. 2
A relaxed structure of Na3Pu3GaS8. Source: the Alexandria database, functional PBE.

Cell: 7.905 7.906 8.069 Å, 119.35 90.00 120.00°
Sites, in units of the cell vectors:
Na 0.000 0.000 0.000
Na 0.000 0.500 0.000
Na 0.500 0.500 0.000
Pu 0.500 0.000 0.500
Pu 0.500 0.500 0.500
Pu 0.000 0.500 0.500
Ga 0.000 0.000 0.500
S 0.258 0.516 0.275
S 0.742 0.484 0.725
S 0.773 0.546 0.290
S 0.227 0.454 0.710
S 0.773 0.016 0.290
S 0.227 0.984 0.710
S 0.243 0.016 0.290
S 0.757 0.984 0.710

Output
- Calculated volume: 360.1 Å³/cell
- Uncorrected energy: -102.6 eV per cell


No. 3
A relaxed structure of Na2Pu2GaS6. Source: the Alexandria database, functional PBE.

Cell: 6.786 6.786 7.029 Å, 98.65 98.65 120.28°
Sites, in units of the cell vectors:
Na 0.834 0.166 0.000
Na 0.166 0.834 0.000
Pu 0.334 0.666 0.500
Pu 0.666 0.334 0.500
Ga 0.000 0.000 0.500
S 0.770 0.770 0.704
S 0.066 0.396 0.716
S 0.230 0.230 0.296
S 0.396 0.066 0.716
S 0.934 0.604 0.284
S 0.604 0.934 0.284

Output
- Calculated volume: 266.5 Å³/cell
- Uncorrected energy: -72.3 eV per cell


No. 4
A relaxed structure of NaPuGaSb. Source: the Alexandria database, functional PBE.

Cell: 5.215 5.215 5.215 Å, 60.00 60.00 60.00°
Sites, in units of the cell vectors:
Sb 0.250 0.250 0.250
Na 0.000 0.000 0.000
Ga 0.750 0.750 0.750
Pu 0.500 0.500 0.500

Output
- Calculated volume: 100.3 Å³/cell
- Uncorrected energy: -23.8 eV per cell


No. 5
A relaxed structure of Na3Pu3GaSe8. Source: the Alexandria database, functional PBE.

Cell: 8.257 8.257 8.449 Å, 119.25 90.00 120.00°
Sites, in units of the cell vectors:
Na 0.000 0.000 0.000
Na 0.000 0.500 0.000
Na 0.500 0.500 0.000
Pu 0.500 0.000 0.500
Pu 0.500 0.500 0.500
Pu 0.000 0.500 0.500
Ga 0.000 0.000 0.500
Se 0.257 0.513 0.270
Se 0.743 0.487 0.730
Se 0.770 0.540 0.285
Se 0.230 0.460 0.715
Se 0.770 0.015 0.285
Se 0.230 0.985 0.715
Se 0.245 0.015 0.285
Se 0.755 0.985 0.715

Output
- Calculated volume: 411.8 Å³/cell
- Uncorrected energy: -95.5 eV per cell


No. 6
A relaxed structure of NaPuGaSn. Source: the Alexandria database, functional PBE.

Cell: 5.198 5.198 5.198 Å, 60.00 60.00 60.00°
Sites, in units of the cell vectors:
Na 0.750 0.750 0.750
Sn 0.000 0.000 0.000
Ga 0.500 0.500 0.500
Pu 0.250 0.250 0.250

Output
- Calculated volume: 99.3 Å³/cell
- Uncorrected energy: -23.3 eV per cell


No. 7
A relaxed structure of Rb2Na2Ga. Source: the Alexandria database, functional PBE.

Cell: 9.675 9.675 5.589 Å, 90.00 90.00 90.00°
Sites, in units of the cell vectors:
Na 0.155 0.655 0.500
Na 0.655 0.845 0.500
Na 0.845 0.345 0.500
Na 0.345 0.155 0.500
Ga 0.000 0.000 0.000
Ga 0.500 0.500 0.000
Rb 0.344 0.844 0.000
Rb 0.844 0.656 0.000
Rb 0.656 0.156 0.000
Rb 0.156 0.344 0.000

Output
- Excess energy over the best structure of this formula in the dataset: 164 meV per atom
- Calculated volume: 523.2 Å³/cell
- Uncorrected energy: -12.2 eV per cell


No. 8
A relaxed structure of RbNa3Ga. Source: the Alexandria database, functional PBE.

Cell: 5.948 5.948 5.948 Å, 90.00 90.00 90.00°
Sites, in units of the cell vectors:
Na 0.000 0.500 0.000
Na 0.000 0.000 0.500
Na 0.500 0.000 0.000
Ga 0.000 0.000 0.000
Rb 0.500 0.500 0.500

Output
- Excess energy over the best structure of this formula in the dataset: 29 meV per atom
- Calculated volume: 210.4 Å³/cell
- Uncorrected energy: -7.6 eV per cell


No. 9
A relaxed structure of Rb2Na2Ga. Source: the Alexandria database, functional PBE.

Cell: 8.418 8.418 6.504 Å, 90.00 90.00 90.00°
Sites, in units of the cell vectors:
Na 0.344 0.844 0.000
Na 0.844 0.656 0.000
Na 0.656 0.156 0.000
Na 0.156 0.344 0.000
Ga 0.000 0.000 0.000
Ga 0.500 0.500 0.000
Rb 0.186 0.686 0.500
Rb 0.686 0.814 0.500
Rb 0.814 0.314 0.500
Rb 0.314 0.186 0.500

Output
- Excess energy over the best structure of this formula in the dataset: 0 meV per atom
- Calculated volume: 460.9 Å³/cell
- Uncorrected energy: -13.9 eV per cell


No. 10
A relaxed structure of RbNa3Ga. Source: the Alexandria database, functional PBE.

Cell: 6.491 6.491 6.491 Å, 90.00 90.00 90.00°
Sites, in units of the cell vectors:
Na 0.000 0.500 0.000
Na 0.000 0.000 0.500
Na 0.500 0.000 0.000
Ga 0.500 0.500 0.500
Rb 0.000 0.000 0.000

Output
- Excess energy over the best structure of this formula in the dataset: 636 meV per atom
- Calculated volume: 273.5 Å³/cell
- Uncorrected energy: -4.6 eV per cell


No. 11
A relaxed structure of RbNaGa4. Source: the Alexandria database, functional PBE.

Cell: 5.036 5.979 6.744 Å, 116.31 112.79 90.00°
Sites, in units of the cell vectors:
Rb 0.821 0.238 0.477
Na 0.099 0.013 0.025
Ga 0.255 0.671 0.341
Ga 0.469 0.098 0.768
Ga 0.469 0.670 0.768
Ga 0.638 0.560 0.121

Output
- Excess energy over the best structure of this formula in the dataset: 30 meV per atom
- Calculated volume: 164.2 Å³/cell
- Uncorrected energy: -14.3 eV per cell


No. 12
A relaxed structure of RbNaGa4. Source: the Alexandria database, functional PBE.

Cell: 5.887 5.887 5.887 Å, 60.00 60.00 60.00°
Sites, in units of the cell vectors:
Na 0.000 0.000 0.000
Ga 0.625 0.625 0.124
Ga 0.625 0.124 0.625
Ga 0.625 0.625 0.625
Ga 0.124 0.625 0.625
Rb 0.250 0.250 0.250

Output
- Excess energy over the best structure of this formula in the dataset: 0 meV per atom
- Calculated volume: 144.3 Å³/cell
- Uncorrected energy: -14.4 eV per cell